Here is ReSbMo3 after structural relaxation from Alexandria via LeMat-Bulk. Energies are from PBE-GGA.

Summary:
formation energy (no corrections) = 1.500 eV per atom
ΔE to the lowest computed polymorph = 0.0 meV/atom

Lattice parameters (Å, degrees): 4.791 4.791 4.791 90.00 90.00 90.00
Atoms (fractional coordinates):
Mo 0.000 0.500 0.000
Mo 0.500 0.000 0.000
Mo 0.000 0.000 0.500
Re 0.000 0.000 0.000
Sb 0.500 0.500 0.500

=====

Here is ReSb2Mo after structural relaxation from Alexandria via LeMat-Bulk. Energies are from PBE-GGA.

Summary:
formation energy (no corrections) = 0.387 eV per atom
ΔE to the lowest computed polymorph = 225.3 meV/atom

Lattice parameters (Å, degrees): 4.875 3.214 4.727 90.00 90.00 90.00
Atoms (fractional coordinates):
Mo 0.000 0.375 0.519
Sb 0.000 0.875 0.005
Sb 0.500 0.375 0.244
Re 0.500 0.875 0.733

=====

Here is ReSbMo2Se after structural relaxation from Alexandria via LeMat-Bulk. Energies are from PBE-GGA.

Summary:
formation energy (no corrections) = 1.242 eV per atom

Lattice parameters (Å, degrees): 4.670 4.602 4.670 90.00 90.00 90.00
Atoms (fractional coordinates):
Re 0.000 0.500 0.000
Se 0.000 0.000 0.000
Mo 0.000 0.000 0.500
Sb 0.500 0.500 0.500
Mo 0.500 0.000 0.000

=====

Here is ReSiSb2Mo after structural relaxation from Alexandria via LeMat-Bulk. Energies are from PBE-GGA.

Summary:
formation energy (no corrections) = 1.652 eV per atom

Lattice parameters (Å, degrees): 5.024 4.463 5.024 90.00 90.00 90.00
Atoms (fractional coordinates):
Sb 0.000 0.000 0.500
Sb 0.500 0.000 0.000
Re 0.500 0.500 0.500
Mo 0.000 0.500 0.000
Si 0.000 0.000 0.000

=====

Here is ReSnSbMo2 after structural relaxation from Alexandria via LeMat-Bulk. Energies are from PBE-GGA.

Summary:
formation energy (no corrections) = 1.958 eV per atom

Lattice parameters (Å, degrees): 4.914 4.863 4.914 90.00 90.00 90.00
Atoms (fractional coordinates):
Mo 0.500 0.000 0.000
Mo 0.000 0.000 0.500
Sb 0.000 0.000 0.000
Sn 0.500 0.500 0.500
Re 0.000 0.500 0.000

=====

Here is ReSbTe2Mo after structural relaxation from Alexandria via LeMat-Bulk. Energies are from PBE-GGA.

Summary:
formation energy (no corrections) = 1.365 eV per atom
ΔE to the lowest computed polymorph = 0.0 meV/atom

Lattice parameters (Å, degrees): 5.319 5.319 5.057 90.00 90.00 90.00
Atoms (fractional coordinates):
Sb 0.000 0.000 0.500
Te 0.000 0.500 0.000
Te 0.500 0.000 0.000
Mo 0.500 0.500 0.500
Re 0.000 0.000 0.000

=====

Here is ReSb2TeMo after structural relaxation from Alexandria via LeMat-Bulk. Energies are from PBE-GGA.

Summary:
formation energy (no corrections) = 1.329 eV per atom
ΔE to the lowest computed polymorph = 0.0 meV/atom

Lattice parameters (Å, degrees): 5.045 5.045 5.643 90.00 90.00 90.00
Atoms (fractional coordinates):
Mo 0.500 0.500 0.500
Re 0.000 0.000 0.000
Te 0.000 0.000 0.500
Sb 0.000 0.500 0.000
Sb 0.500 0.000 0.000

=====

Here is Re2SbMoW after structural relaxation from Alexandria via LeMat-Bulk. Energies are from PBE-GGA.

Summary:
formation energy (no corrections) = 2.358 eV per atom

Lattice parameters (Å, degrees): 4.680 4.890 4.680 90.00 90.00 90.00
Atoms (fractional coordinates):
W 0.500 0.500 0.500
Re 0.500 0.000 0.000
Re 0.000 0.000 0.500
Mo 0.000 0.000 0.000
Sb 0.000 0.500 0.000

=====

Here is ScRe2Mo after structural relaxation from Alexandria via LeMat-Bulk. Energies are from PBE-GGA.

Summary:
ΔE to the lowest computed polymorph = 121.7 meV/atom

Lattice parameters (Å, degrees): 2.758 2.758 9.061 90.00 90.00 110.46
Atoms (fractional coordinates):
Mo 0.500 0.500 0.750
Re 0.000 0.000 0.991
Sc 0.500 0.500 0.250
Re 0.000 0.000 0.509

=====

Here is Sc2ReMo3 after structural relaxation from Alexandria via LeMat-Bulk. Energies are from PBE-GGA.

Summary:
total energy = -9.7133 eV/atom

Lattice parameters (Å, degrees): 5.354 5.354 5.350 89.78 120.14 120.13
Atoms (fractional coordinates):
Mo 0.000 0.000 0.500
Re 0.000 0.000 0.000
Sc 0.252 0.626 0.877
Mo 0.500 0.000 0.500
Sc 0.748 0.374 0.123
Mo 0.500 0.500 0.500

=====

Here is ScReMo4 after structural relaxation from Alexandria via LeMat-Bulk. Energies are from PBE-GGA.

Summary:
total energy = -10.1796 eV/atom

Lattice parameters (Å, degrees): 5.241 5.241 5.241 60.00 60.00 60.00
Atoms (fractional coordinates):
Mo 0.625 0.125 0.625
Mo 0.125 0.625 0.625
Re 0.250 0.250 0.250
Mo 0.625 0.625 0.125
Sc 0.000 0.000 0.000
Mo 0.625 0.625 0.625

=====

Here is ScReMo2 after structural relaxation from Alexandria via LeMat-Bulk. Energies are from PBE-GGA.

Summary:
ΔE to the lowest computed polymorph = 47.7 meV/atom

Lattice parameters (Å, degrees): 4.507 4.507 4.507 60.00 60.00 60.00
Atoms (fractional coordinates):
Mo 0.250 0.250 0.250
Mo 0.750 0.750 0.750
Re 0.500 0.500 0.500
Sc 0.000 0.000 0.000

=====

Short version: V = 110, 74, 100, 113, 117, 143, 144, 107, 65, 108, 102, 65 Å³/cell, in the order given.